# 1
DFT (PBE-GGA) results for PuHf2Pt after structural relaxation.

Properties
excess energy over the best structure of this formula in the dataset: 231 meV/atom
space-group type: R-3m (166)
mass density: 15.46 g/cm³

Cell lengths 9.5901, 9.5901, 9.5901 Å; angles 19.45, 19.45, 19.45 degrees
Atoms (fractional coordinates):
Pu: 0.0000 0.0000 0.0000
Hf: 0.2406 0.2406 0.2406
Hf: 0.7594 0.7594 0.7594
Pt: 0.5000 0.5000 0.5000


# 2
DFT (PBE-GGA) results for Nb3BiSb after structural relaxation.

Properties
excess energy over the best structure of this formula in the dataset: 0 meV/atom
formation energy (no corrections): 1.2928 eV per atom
space-group type: Pm-3m (221)
mass density: 7.70 g/cm³

Cell lengths 5.0845, 5.0845, 5.0845 Å; angles 90.00, 90.00, 90.00 degrees
Atoms (fractional coordinates):
Nb: 0.0000 0.0000 0.5000
Nb: 0.0000 0.5000 0.0000
Nb: 0.5000 0.0000 0.0000
Bi: 0.5000 0.5000 0.5000
Sb: 0.0000 0.0000 0.0000


# 3
DFT (PBE-GGA) results for BaScGa2 after structural relaxation.

Properties
excess energy over the best structure of this formula in the dataset: 81 meV/atom
space-group type: R-3m (166)
mass density: 4.56 g/cm³

Cell lengths 6.7690, 6.7690, 6.7690 Å; angles 40.35, 40.35, 40.35 degrees
Atoms (fractional coordinates):
Ba: 0.0000 0.0000 0.0000
Sc: 0.5000 0.5000 0.5000
Ga: 0.2053 0.2053 0.2053
Ga: 0.7947 0.7947 0.7947


# 4
DFT (PBE-GGA) results for Rb2RuSe after structural relaxation.

Properties
formation energy (no corrections): 0.8000 eV per atom
space-group type: I-42d (122)
mass density: 4.87 g/cm³

Cell lengths 11.9129, 11.9129, 11.9129 Å; angles 157.89, 157.89, 31.47 degrees
Atoms (fractional coordinates):
Rb: 0.1243 0.6250 0.9993
Rb: 0.3750 0.3743 0.4993
Rb: 0.6257 0.1250 0.0007
Rb: 0.8750 0.8757 0.5007
Ru: 0.2500 0.7500 0.5000
Ru: 0.5000 0.5000 0.0000
Se: 0.0000 0.0000 0.0000
Se: 0.7500 0.2500 0.5000


# 5
DFT (PBE-GGA) results for SrLaZn4 after structural relaxation.

Properties
excess energy over the best structure of this formula in the dataset: 54 meV/atom
space-group type: F-43m (216)
mass density: 6.10 g/cm³

Cell lengths 5.7281, 5.7281, 5.7281 Å; angles 60.00, 60.00, 60.00 degrees
Atoms (fractional coordinates):
Sr: 0.0000 0.0000 0.0000
La: 0.2500 0.2500 0.2500
Zn: 0.1298 0.6234 0.6234
Zn: 0.6234 0.1298 0.6234
Zn: 0.6234 0.6234 0.1298
Zn: 0.6234 0.6234 0.6234


# 6
DFT (PBE-GGA) results for Pm4NiAg3 after structural relaxation.

Properties
raw total energy: -4.428 eV/atom
space-group type: Pmm2 (25)
mass density: 7.81 g/cm³

Cell lengths 3.8612, 4.8169, 11.0028 Å; angles 90.00, 90.00, 90.00 degrees
Atoms (fractional coordinates):
Pm: 0.0000 0.0000 0.0000
Pm: 0.0000 0.5000 0.2611
Pm: 0.5000 0.0000 0.4635
Pm: 0.5000 0.5000 0.7679
Ni: 0.5000 0.0000 0.2002
Ag: 0.0000 0.0000 0.6996
Ag: 0.0000 0.5000 0.5433
Ag: 0.5000 0.5000 0.0493


# 7
DFT (PBE-GGA) results for Cr2IrRh after structural relaxation.

Properties
raw total energy: -8.873 eV/atom
space-group type: C2/m (12)
mass density: 12.60 g/cm³

Cell lengths 4.5786, 4.5786, 4.5945 Å; angles 99.66, 99.66, 33.70 degrees
Atoms (fractional coordinates):
Cr: 0.2492 0.2492 0.2463
Cr: 0.7508 0.7508 0.7537
Ir: 0.5000 0.5000 0.0000
Rh: 0.0000 0.0000 0.5000


# 8
DFT (PBE-GGA) results for SrCaAg2 after structural relaxation.

Properties
raw total energy: -2.632 eV/atom
space-group type: P4/mmm (123)
mass density: 5.09 g/cm³

Cell lengths 3.8590, 3.8590, 7.5176 Å; angles 90.00, 90.00, 90.00 degrees
Atoms (fractional coordinates):
Sr: 0.0000 0.0000 0.0000
Ca: 0.0000 0.0000 0.5000
Ag: 0.5000 0.5000 0.2785
Ag: 0.5000 0.5000 0.7215


# 9
DFT (PBE-GGA) results for Zr2TcAgSn after structural relaxation.

Properties
raw total energy: -6.328 eV/atom
space-group type: P4/mmm (123)
mass density: 6.78 g/cm³

Cell lengths 4.9140, 4.9140, 5.1420 Å; angles 90.00, 90.00, 90.00 degrees
Atoms (fractional coordinates):
Zr: 0.0000 0.5000 0.0000
Zr: 0.5000 0.0000 0.0000
Tc: 0.0000 0.0000 0.0000
Ag: 0.0000 0.0000 0.5000
Sn: 0.5000 0.5000 0.5000


# 10
DFT (PBE-GGA) results for Na2Zr2ScSe6 after structural relaxation.

Properties
formation energy (no corrections): -1.4283 eV per atom
space-group type: C2/m (12)
mass density: 4.49 g/cm³

Cell lengths 6.6593, 6.6593, 7.5444 Å; angles 98.50, 98.50, 120.06 degrees
Atoms (fractional coordinates):
Na: 0.1666 0.8334 0.0000
Na: 0.8334 0.1666 0.0000
Zr: 0.3329 0.6671 0.5000
Zr: 0.6671 0.3329 0.5000
Sc: 0.0000 0.0000 0.5000
Se: 0.0759 0.4074 0.7213
Se: 0.2607 0.2607 0.2798
Se: 0.4074 0.0759 0.7213
Se: 0.5926 0.9241 0.2787
Se: 0.7393 0.7393 0.7202
Se: 0.9241 0.5926 0.2787


# 11
DFT (PBE-GGA) results for MnRh2W after structural relaxation.

Properties
excess energy over the best structure of this formula in the dataset: 28 meV/atom
space-group type: P4/mmm (123)
mass density: 12.60 g/cm³

Cell lengths 2.8240, 2.8240, 7.3445 Å; angles 90.00, 90.00, 90.00 degrees
Atoms (fractional coordinates):
Mn: 0.0000 0.0000 0.0000
Rh: 0.5000 0.5000 0.2469
Rh: 0.5000 0.5000 0.7531
W: 0.0000 0.0000 0.5000


# 12
DFT (PBE-GGA) results for CeCd4Au after structural relaxation.

Properties
raw total energy: -2.393 eV/atom
space-group type: Pmma (51)
mass density: 9.17 g/cm³

Cell lengths 7.8503, 4.6511, 7.8011 Å; angles 90.00, 90.00, 90.00 degrees
Atoms (fractional coordinates):
Ce: 0.2500 0.0000 0.1229
Ce: 0.7500 0.0000 0.8771
Cd: 0.0000 0.0000 0.5000
Cd: 0.0506 0.5000 0.8170
Cd: 0.2500 0.5000 0.4383
Cd: 0.4494 0.5000 0.8170
Cd: 0.5000 0.0000 0.5000
Cd: 0.5506 0.5000 0.1830
Cd: 0.7500 0.5000 0.5617
Cd: 0.9494 0.5000 0.1830
Au: 0.2500 0.0000 0.7482
Au: 0.7500 0.0000 0.2518